DFT (PBE) results for Pu2AlF8 after structural relaxation.

V = 14.62 A^3/atom
E_form (uncorrected) = -3.487 eV per atom

a = 6.1159 Å, b = 6.1159 Å, c = 4.7535 Å
α = 105.90°, β = 105.90°, γ = 74.45°
Fractional positions:
Pu (0.1710, 0.1710, 0.3503)
Pu (0.8290, 0.8290, 0.6497)
Al (0.5000, 0.5000, 0.0000)
F (0.0939, 0.0939, 0.8006)
F (0.2034, 0.5522, 0.7531)
F (0.3855, 0.3855, 0.2205)
F (0.4478, 0.7966, 0.2469)
F (0.5522, 0.2034, 0.7531)
F (0.6145, 0.6145, 0.7795)
F (0.7966, 0.4478, 0.2469)
F (0.9061, 0.9061, 0.1994)